# 1
InCo2Br: optimized geometry, PBE.

Output
- magnetization (Bohr magnetons per cell) = 3.018
- E_form (uncorrected) (meV/atom) = 579
- offset from the most stable computed form (meV/atom) = 324

Cell and atoms, written as CIF:
```
data_InCo2Br
_chemical_formula_sum 'In1 Co2 Br1'
_space_group_name_H-M_alt 'P 1 2/m 1'
_space_group_IT_number 10
_cell_length_a 4.290
_cell_length_b 3.148
_cell_length_c 5.466
_cell_angle_alpha 90.00
_cell_angle_beta 112.13
_cell_angle_gamma 90.00
loop_
_space_group_symop_operation_xyz
'x,y,z'
'-x,-y,-z'
'-x,y,-z'
'x,-y,z'
loop_
_atom_site_label
_atom_site_fract_x
_atom_site_fract_y
_atom_site_fract_z
In1 0.000 0.000 0.000
Co1 0.500 0.000 0.500
Co2 0.500 0.500 0.000
Br1 0.000 0.500 0.500
```

---

# 2
Ba2Zr2Cd: optimized geometry, PBE.

Output
- magnetization (Bohr magnetons per cell) = 0.000
- energy relative to the elements (meV/atom) = 622
- offset from the most stable computed form (meV/atom) = 0

Cell and atoms, written as CIF:
```
data_Ba2Zr2Cd
_chemical_formula_sum 'Ba4 Zr4 Cd2'
_space_group_name_H-M_alt 'P 4/m b m'
_space_group_IT_number 127
_space_group_name_Hall '-P 4 2ab'
_cell_length_a 9.761
_cell_length_b 9.761
_cell_length_c 3.575
_cell_angle_alpha 90.00
_cell_angle_beta 90.00
_cell_angle_gamma 90.00
loop_
_atom_site_label
_atom_site_fract_x
_atom_site_fract_y
_atom_site_fract_z
Ba1 0.198 0.302 0.000
Zr1 0.101 0.601 0.500
Cd1 0.000 0.000 0.500
```

---

# 3
RbCrSeBr2: optimized geometry, PBE.

Output
- magnetization (Bohr magnetons per cell) = 3.000
- E_form (uncorrected) (meV/atom) = -853
- offset from the most stable computed form (meV/atom) = 0

Cell and atoms, written as CIF:
```
data_RbCrSeBr2
_chemical_formula_sum 'Rb1 Cr1 Se1 Br2'
_space_group_name_H-M_alt 'P 4/m m m'
_space_group_IT_number 123
_space_group_name_Hall '-P 4 2'
_cell_length_a 5.457
_cell_length_b 5.457
_cell_length_c 4.825
_cell_angle_alpha 90.00
_cell_angle_beta 90.00
_cell_angle_gamma 90.00
loop_
_atom_site_label
_atom_site_fract_x
_atom_site_fract_y
_atom_site_fract_z
Rb1 0.000 0.000 0.000
Cr1 0.500 0.500 0.500
Se1 0.500 0.500 0.000
Br1 0.000 0.500 0.500
```

---

# 4
NaCu2SiS4: optimized geometry, PBE.

Output
- magnetization (Bohr magnetons per cell) = 0.001
- E_form (uncorrected) (meV/atom) = -589

Cell and atoms, written as CIF:
```
data_NaCu2SiS4
_chemical_formula_sum 'Na2 Cu4 Si2 S8'
_space_group_name_H-M_alt 'I -4 2 m'
_space_group_IT_number 121
_space_group_name_Hall 'I -4 2'
_cell_length_a 5.914
_cell_length_b 5.914
_cell_length_c 8.910
_cell_angle_alpha 90.00
_cell_angle_beta 90.00
_cell_angle_gamma 90.00
loop_
_atom_site_label
_atom_site_fract_x
_atom_site_fract_y
_atom_site_fract_z
Na1 0.000 0.000 0.000
Cu1 0.000 0.500 0.250
Si1 0.000 0.000 0.500
S1 0.209 0.209 0.639
```

---

# 5
Li3AgSn3: optimized geometry, PBE.

Output
- magnetization (Bohr magnetons per cell) = 0.000
- energy relative to the elements (meV/atom) = -230

Cell and atoms, written as CIF:
```
data_Li3AgSn3
_chemical_formula_sum 'Li12 Ag4 Sn12'
_space_group_name_H-M_alt 'C 1 2/m 1'
_space_group_IT_number 12
_cell_length_a 9.985
_cell_length_b 9.252
_cell_length_c 6.696
_cell_angle_alpha 90.00
_cell_angle_beta 90.92
_cell_angle_gamma 90.00
loop_
_space_group_symop_operation_xyz
'x,y,z'
'-x,-y,-z'
'-x,y,-z'
'x,-y,z'
'x+1/2,y+1/2,z'
'-x+1/2,-y+1/2,-z'
'-x+1/2,y+1/2,-z'
'x+1/2,-y+1/2,z'
loop_
_atom_site_label
_atom_site_fract_x
_atom_site_fract_y
_atom_site_fract_z
Li1 0.000 0.204 0.000
Li2 0.000 0.243 0.500
Li3 0.238 0.500 0.541
Ag1 0.215 0.000 0.054
Sn1 0.016 0.500 0.230
Sn2 0.248 0.274 0.246
```

---

# 6
Ho3Mg2C: optimized geometry, PBE.

Output
- magnetization (Bohr magnetons per cell) = 0.000
- energy relative to the elements (meV/atom) = -162

Cell and atoms, written as CIF:
```
data_Ho3Mg2C
_chemical_formula_sum 'Ho6 Mg4 C2'
_space_group_name_H-M_alt 'C m m m'
_space_group_IT_number 65
_space_group_name_Hall '-C 2 2'
_cell_length_a 5.086
_cell_length_b 16.428
_cell_length_c 3.455
_cell_angle_alpha 90.00
_cell_angle_beta 90.00
_cell_angle_gamma 90.00
loop_
_atom_site_label
_atom_site_fract_x
_atom_site_fract_y
_atom_site_fract_z
Ho1 0.000 0.000 0.000
Ho2 0.000 0.396 0.500
Mg1 0.000 0.201 0.000
C1 0.000 0.500 0.000
```

---

# 7
CsCrAg2S4: optimized geometry, PBE.

Output
- magnetization (Bohr magnetons per cell) = 2.007
- E_form (uncorrected) (meV/atom) = -451

Cell and atoms, written as CIF:
```
data_CsCrAg2S4
_chemical_formula_sum 'Cs2 Cr2 Ag4 S8'
_space_group_name_H-M_alt 'I -4 2 m'
_space_group_IT_number 121
_space_group_name_Hall 'I -4 2'
_cell_length_a 6.721
_cell_length_b 6.721
_cell_length_c 8.929
_cell_angle_alpha 90.00
_cell_angle_beta 90.00
_cell_angle_gamma 90.00
loop_
_atom_site_label
_atom_site_fract_x
_atom_site_fract_y
_atom_site_fract_z
Cs1 0.000 0.000 0.000
Cr1 0.000 0.000 0.500
Ag1 0.000 0.500 0.250
S1 0.179 0.179 0.354
```

---

| no. | total DFT energy (no corrections) (eV per atom) |
| --- | --- |
| 1 | -4.08 |
| 2 | -3.75 |
| 3 | -4.34 |
| 4 | -4.52 |
| 5 | -3.17 |
| 6 | -4.52 |
| 7 | -4.54 |